Material: SmTm2Be
Method: DFT, GGA-PBE
State: relaxed

CIF file:
```
data_SmTm2Be
_chemical_formula_sum 'Sm3 Tm6 Be3'
_cell_length_a 3.4279
_cell_length_b 3.4279
_cell_length_c 33.9314
_cell_angle_alpha 90.00
_cell_angle_beta 90.00
_cell_angle_gamma 120.00
_space_group_name_H-M_alt 'R -3 m'
_space_group_IT_number 166
_space_group_name_Hall '-R 3 2"'
loop_
_atom_site_label
_atom_site_fract_x
_atom_site_fract_y
_atom_site_fract_z
_atom_site_occupancy
Sm1 0.0000 0.0000 0.0000 1
Tm1 0.0000 0.0000 0.4163 1
Be1 0.0000 0.0000 0.5000 1
```

## Properties
The calculation puts the total energy at -3.65 eV per atom. Its formation energy is 2.78 eV/f.u. For the excess energy over the best structure of this formula in the dataset, the calculation gives 2.57 eV per formula unit. As for the total magnetization: 0.00 μB/f.u.